A geometry-optimized BaTaAgO4 structure, computed with PBE.

```
data_BaTaAgO4
_chemical_formula_sum 'Ba1 Ta1 Ag1 O4'
_cell_length_a 6.047
_cell_length_b 6.047
_cell_length_c 6.177
_cell_angle_alpha 119.31
_cell_angle_beta 119.31
_cell_angle_gamma 90.00
_symmetry_space_group_name_H-M 'P 1'
_symmetry_Int_Tables_number 1
loop_
_symmetry_equiv_pos_as_xyz
'x,y,z'
loop_
_atom_site_label
_atom_site_type_symbol
_atom_site_fract_x
_atom_site_fract_y
_atom_site_fract_z
O1 O 0.323 0.796 0.261
Ba1 Ba 0.000 0.000 0.000
O2 O 0.204 0.063 0.739
O3 O 0.937 0.464 0.261
Ag1 Ag 0.500 0.500 0.000
Ta1 Ta 0.250 0.750 0.500
O4 O 0.536 0.677 0.739
```

# MgZn2Se2 | Alexandria via LeMat-Bulk | PBE | optimized geometry
# * energy above the lowest structure with this stoichiometry: 0.83 eV per formula unit
data_MgZn2Se2
_chemical_formula_sum 'Mg2 Zn4 Se4'
_cell_length_a 8.343
_cell_length_b 8.343
_cell_length_c 6.910
_cell_angle_alpha 90.00
_cell_angle_beta 90.00
_cell_angle_gamma 153.34
_symmetry_space_group_name_H-M 'P 1'
_symmetry_Int_Tables_number 1
loop_
_symmetry_equiv_pos_as_xyz
'x,y,z'
loop_
_atom_site_label
_atom_site_type_symbol
_atom_site_fract_x
_atom_site_fract_y
_atom_site_fract_z
Se1 Se 0.886 0.114 0.531
Se2 Se 0.327 0.673 0.017
Zn1 Zn 0.557 0.443 0.788
Mg1 Mg 0.061 0.939 0.395
Mg2 Mg 0.939 0.061 0.895
Zn2 Zn 0.443 0.557 0.288
Zn3 Zn 0.712 0.288 0.135
Se3 Se 0.114 0.886 0.031
Zn4 Zn 0.288 0.712 0.635
Se4 Se 0.673 0.327 0.517

Q: Which size of the total moment values were calculated for the entries above? A: 0.000 0.000, in μB/cell.
Q: Which raw formation energy values were calculated for the entries above? A: -2.19 -0.37, in eV/atom.
Q: Which mass density values were calculated for the entries above? A: 5.0 4.8, in Mg/m³.